Record 1
Below is crystalline Er2In5Br12 at its relaxed geometry, with properties calculated at the PBE-GGA level.

Cell lengths 9.820, 9.820, 7.600 Å; angles 104.52, 104.52, 63.98 degrees
Positions (direct):
1 Er 0.249 0.751 0.000
2 Er 0.751 0.249 0.000
3 In 0.000 0.000 0.500
4 In 0.254 0.254 0.006
5 In 0.351 0.351 0.486
6 In 0.649 0.649 0.514
7 In 0.746 0.746 0.994
8 Br 0.082 0.082 0.197
9 Br 0.095 0.711 0.249
10 Br 0.142 0.528 0.775
11 Br 0.289 0.905 0.751
12 Br 0.472 0.858 0.225
13 Br 0.477 0.477 0.200
14 Br 0.523 0.523 0.800
15 Br 0.528 0.142 0.775
16 Br 0.711 0.095 0.249
17 Br 0.858 0.472 0.225
18 Br 0.905 0.289 0.751
19 Br 0.918 0.918 0.803

Results
Raw formation energy in meV per atom: -1107
SG: C2/m

***

Record 2
Below is crystalline FeOsAu2 at its relaxed geometry, with properties calculated at the PBE-GGA level.

Cell lengths 9.369, 2.757, 4.963 Å; angles 90.00, 101.41, 90.00 degrees
Positions (direct):
1 Fe 0.000 0.000 0.000
2 Fe 0.500 0.500 0.000
3 Os 0.272 0.000 0.784
4 Os 0.772 0.500 0.784
5 Au 0.016 0.500 0.525
6 Au 0.251 0.500 0.260
7 Au 0.516 0.000 0.525
8 Au 0.751 0.000 0.260

Results
SG: Cm
Energy of formation from the pure elements in eV per atom: 0.44

***

Record 3
Below is crystalline Tl2BiCl5 at its relaxed geometry, with properties calculated at the PBE-GGA level.

Cell lengths 12.199, 7.911, 7.955 Å; angles 90.00, 129.53, 90.00 degrees
Positions (direct):
1 Tl 0.000 0.000 0.000
2 Tl 0.001 0.500 0.469
3 Tl 0.500 0.500 0.000
4 Tl 0.501 0.000 0.469
5 Bi 0.316 0.500 0.328
6 Bi 0.816 0.000 0.328
7 Cl 0.053 0.500 0.096
8 Cl 0.309 0.257 0.080
9 Cl 0.309 0.743 0.080
10 Cl 0.339 0.259 0.591
11 Cl 0.339 0.741 0.591
12 Cl 0.553 0.000 0.096
13 Cl 0.809 0.243 0.080
14 Cl 0.809 0.757 0.080
15 Cl 0.839 0.241 0.591
16 Cl 0.839 0.759 0.591

Results
Raw formation energy in meV per atom: -976
SG: Cm

***

Record 4
Below is crystalline CsPuSn2Br8 at its relaxed geometry, with properties calculated at the PBE-GGA level.

Cell lengths 6.969, 7.325, 9.841 Å; angles 83.67, 85.88, 86.95 degrees
Positions (direct):
1 Cs 0.000 0.000 0.000
2 Pu 0.000 0.000 0.500
3 Sn 0.480 0.484 0.252
4 Sn 0.520 0.516 0.748
5 Br 0.235 0.325 0.470
6 Br 0.251 0.843 0.296
7 Br 0.259 0.854 0.705
8 Br 0.260 0.399 0.055
9 Br 0.740 0.601 0.945
10 Br 0.741 0.146 0.295
11 Br 0.749 0.157 0.704
12 Br 0.765 0.675 0.530

Results
Raw formation energy in meV per atom: -1162
SG: P-1